No. 1
# CdHClO (PBE, optimized geometry)
# Crystal system: orthorhombic
# Electronic total energy, Ry/atom: -0.2783
# N(E_F), states/eV/atom: 0.000
# Magnetization, μB/cell: 0.0
data_CdHClO
_cell_length_a 4.079
_cell_length_b 5.777
_cell_length_c 5.888
_cell_angle_alpha 90.00
_cell_angle_beta 90.00
_cell_angle_gamma 90.00
_symmetry_space_group_name_H-M 'A m m 2'
_symmetry_Int_Tables_number 38
_symmetry_space_group_name_Hall 'A 2 -2'
loop_
_atom_site_label
_atom_site_type_symbol
_atom_site_fract_x
_atom_site_fract_y
_atom_site_fract_z
_atom_site_occupancy
Cd1 Cd 0.000 0.000 0.000 1
H1 H 0.500 0.000 0.283 1
Cl1 Cl 0.000 0.000 0.567 1
O1 O 0.500 0.000 0.117 1


No. 2
# SrCd2H16Cl6O8 (PBE, optimized geometry)
# Crystal system: triclinic
# Electronic total energy, Ry/atom: -0.3270
# N(E_F), states/eV/atom: 0.000
# Magnetization, μB/cell: 0.0
data_SrCd2H16Cl6O8
_cell_length_a 7.852
_cell_length_b 9.198
_cell_length_c 12.704
_cell_angle_alpha 77.20
_cell_angle_beta 81.69
_cell_angle_gamma 87.98
_symmetry_space_group_name_H-M 'P -1'
_symmetry_Int_Tables_number 2
_symmetry_space_group_name_Hall '-P 1'
loop_
_atom_site_label
_atom_site_type_symbol
_atom_site_fract_x
_atom_site_fract_y
_atom_site_fract_z
_atom_site_occupancy
Sr1 Sr 0.021 0.333 0.395 1
Cd1 Cd 0.104 0.811 0.091 1
Cd2 Cd 0.397 0.163 0.898 1
H1 H 0.040 0.931 0.734 1
H2 H 0.054 0.992 0.366 1
H3 H 0.200 0.390 0.588 1
H4 H 0.206 0.315 0.146 1
H5 H 0.208 0.548 0.796 1
H6 H 0.222 0.948 0.482 1
H7 H 0.276 0.831 0.409 1
H8 H 0.288 0.452 0.171 1
H9 H 0.304 0.701 0.735 1
H10 H 0.305 0.470 0.473 1
H11 H 0.319 0.151 0.540 1
H12 H 0.375 0.156 0.413 1
H13 H 0.423 0.240 0.246 1
H14 H 0.437 0.557 0.650 1
H15 H 0.466 0.594 0.340 1
H16 H 0.472 0.912 0.731 1
Cl1 Cl 0.067 0.677 0.291 1
Cl2 Cl 0.140 0.969 0.884 1
Cl3 Cl 0.151 0.350 0.940 1
Cl4 Cl 0.334 0.023 0.110 1
Cl5 Cl 0.384 0.656 0.056 1
Cl6 Cl 0.441 0.186 0.683 1
O1 O 0.002 0.915 0.667 1
O2 O 0.183 0.857 0.462 1
O3 O 0.190 0.464 0.520 1
O4 O 0.227 0.622 0.726 1
O5 O 0.241 0.352 0.206 1
O6 O 0.275 0.141 0.473 1
O7 O 0.448 0.485 0.364 1
O8 O 0.490 0.815 0.710 1


No. 3
# CdP2H6Cl (PBE, optimized geometry)
# Crystal system: monoclinic
# Electronic total energy, Ry/atom: -0.2526
# Magnetization, μB/cell: 0.0
data_CdP2H6Cl
_cell_length_a 6.871
_cell_length_b 12.975
_cell_length_c 6.890
_cell_angle_alpha 90.00
_cell_angle_beta 107.82
_cell_angle_gamma 90.00
_symmetry_space_group_name_H-M 'C 1 2/c 1'
_symmetry_Int_Tables_number 15
_symmetry_space_group_name_Hall '-C 2yc'
loop_
_atom_site_label
_atom_site_type_symbol
_atom_site_fract_x
_atom_site_fract_y
_atom_site_fract_z
_atom_site_occupancy
Cd1 Cd 0.000 0.057 0.250 1
P1 P 0.202 0.119 0.651 1
H1 H 0.119 0.221 0.651 1
H2 H 0.130 0.357 0.421 1
H3 H 0.188 0.385 0.135 1
Cl1 Cl 0.000 0.398 0.750 1


No. 4
# RbCdHCl2 (PBE, optimized geometry)
# Crystal system: tetragonal
# Electronic total energy, Ry/atom: -0.2068
# Magnetization, μB/cell: 0.0
data_RbCdHCl2
_cell_length_a 5.577
_cell_length_b 5.577
_cell_length_c 3.850
_cell_angle_alpha 90.00
_cell_angle_beta 90.00
_cell_angle_gamma 90.00
_symmetry_space_group_name_H-M 'P 4/m m m'
_symmetry_Int_Tables_number 123
_symmetry_space_group_name_Hall '-P 4 2'
loop_
_atom_site_label
_atom_site_type_symbol
_atom_site_fract_x
_atom_site_fract_y
_atom_site_fract_z
_atom_site_occupancy
Rb1 Rb 0.000 0.000 0.000 1
Cd1 Cd 0.500 0.500 0.500 1
H1 H 0.500 0.500 0.000 1
Cl1 Cl 0.000 0.500 0.500 1


No. 5
# Rb2CdHCl6 (PBE, optimized geometry)
# Crystal system: tetragonal
# Electronic total energy, Ry/atom: -0.2093
# N(E_F), states/eV/atom: 0.234
# Magnetization, μB/cell: 1.9
data_Rb2CdHCl6
_cell_length_a 7.885
_cell_length_b 7.885
_cell_length_c 9.094
_cell_angle_alpha 90.00
_cell_angle_beta 90.00
_cell_angle_gamma 90.00
_symmetry_space_group_name_H-M 'I 4/m m m'
_symmetry_Int_Tables_number 139
_symmetry_space_group_name_Hall '-I 4 2'
loop_
_atom_site_label
_atom_site_type_symbol
_atom_site_fract_x
_atom_site_fract_y
_atom_site_fract_z
_atom_site_occupancy
Rb1 Rb 0.000 0.500 0.250 1
Cd1 Cd 0.000 0.000 0.000 1
H1 H 0.000 0.000 0.500 1
Cl1 Cl 0.000 0.000 0.328 1
Cl2 Cl 0.223 0.223 0.000 1


No. 6
# CdHSCl2 (PBE, optimized geometry)
# Crystal system: tetragonal
# Electronic total energy, Ry/atom: -0.1460
# N(E_F), states/eV/atom: 0.820
# Magnetization, μB/cell: 3.0
data_CdHSCl2
_cell_length_a 5.228
_cell_length_b 5.228
_cell_length_c 5.311
_cell_angle_alpha 90.00
_cell_angle_beta 90.00
_cell_angle_gamma 90.00
_symmetry_space_group_name_H-M 'P 4/m m m'
_symmetry_Int_Tables_number 123
_symmetry_space_group_name_Hall '-P 4 2'
loop_
_atom_site_label
_atom_site_type_symbol
_atom_site_fract_x
_atom_site_fract_y
_atom_site_fract_z
_atom_site_occupancy
Cd1 Cd 0.000 0.000 0.000 1
H1 H 0.500 0.500 0.500 1
S1 S 0.000 0.000 0.500 1
Cl1 Cl 0.000 0.500 0.000 1